DFT (PBE) results for a relaxed La2CeNd3As6 crystal.

Summary:
volume	28.09	Å³/atom
formation energy	-1.522	eV/atom

The structure in POSCAR format:
```
La2CeNd3As6
1.0
9.361 -2.150 0.000
9.361 2.150 0.000
-1.969 0.000 8.372
La Ce Nd As
2 1 3 6
direct
0.166 0.166 0.334
0.834 0.834 0.666
0.500 0.500 0.000
0.167 0.167 0.834
0.500 0.500 0.500
0.833 0.833 0.166
0.001 0.001 0.756
0.334 0.334 0.414
0.336 0.336 0.921
0.664 0.664 0.079
0.666 0.666 0.586
0.999 0.999 0.244
```